Record 1
DyAlPt6: optimized geometry, PBE.

Calculated values
Its uncorrected energy is -51.4 eV/cell. For the formation energy, the calculation gives -851 meV/atom. The volume is 16.3 A^3/atom.

Cell: 4.0488 4.0488 7.9608 Å, 90.00 90.00 90.00°
Positions (direct):
Dy  0.0000  0.0000  0.0000
Al  0.0000  0.0000  0.5000
Pt  0.5000  0.5000  0.0000
Pt  0.5000  0.5000  0.5000
Pt  0.5000  0.0000  0.2668
Pt  0.5000  0.0000  0.7332
Pt  0.0000  0.5000  0.2668
Pt  0.0000  0.5000  0.7332

---

Record 2
ScZnPt: optimized geometry, PBE.

Calculated values
Its uncorrected energy is -16.2 eV/cell. For the formation energy, the calculation gives -864 meV/atom. The volume is 17.0 A^3/atom.

Cell: 3.4569 3.4569 4.9138 Å, 110.60 110.60 90.00°
Positions (direct):
Sc  0.6105  0.6105  0.2211
Zn  0.2873  0.2873  0.5745
Pt  0.9522  0.9522  0.9044

---

Record 3
AsHOsPd: optimized geometry, PBE.

Calculated values
Its uncorrected energy is -23.4 eV/cell. The relative energy among the computed polymorphs is 166.8 meV per atom. The volume is 14.2 A^3/atom.

Cell: 2.6656 4.0428 5.4538 Å, 97.72 103.16 90.03°
Positions (direct):
As  0.9678  0.9453  0.7722
H  0.2471  0.3945  0.3514
Os  0.1033  0.4883  0.0404
Pd  0.7328  0.0384  0.3186

---

Question: The lowest uncorrected energy belongs to which entry?
Answer: DyAlPt6

---

Question: What is the uncorrected energy in the first record?
Answer: -51.4 eV/cell

---

Question: Which value of uncorrected energy does entry 3 give?
Answer: -23.4 eV/cell

---

Question: uncorrected energy of number 2 (ScZnPt)?
Answer: -16.2 eV/cell